Computed, not measured: a geometry-optimized NaAlMoO4 structure at the PBE+U level of DFT.

abc: 6.396 6.087 6.087
angles: 57.57 58.31 58.31
Last column: magnetic moment on the atom in μB.
Element x y z (fractional)
Na 0.000 0.000 0.000  0.00
Na 0.000 0.500 0.500  0.00
Al 0.608 0.642 0.142  0.01
Al 0.392 0.358 0.858  0.01
Mo 0.500 0.000 0.500  1.91
Mo 0.000 0.000 0.500  1.91
O 0.737 0.766 0.760  0.02
O 0.263 0.740 0.734  0.02
O 0.737 0.260 0.266  0.02
O 0.263 0.234 0.240  0.02
O 0.257 0.765 0.265  -0.01
O 0.713 0.765 0.265  -0.01
O 0.287 0.235 0.735  -0.01
O 0.743 0.235 0.735  -0.01

Properties
The value obtained for the total magnetic moment is 4.0 μB per cell. The symmetry is Imma. The value obtained for the total energy is -6.640 eV per atom.